# 1
First-principles (GGA-PBE) data for a geometry-optimized GdYAl2Br2 structure, as listed in OQMD via LeMat-Bulk.

```
GdYAl2Br2
1.0
-3.738 -1.919 -0.400
3.295 -1.297 -2.296
2.837 -7.227 8.153
Gd Br Al Y
1 2 2 1
Cartesian
1.943 -4.951 5.585 Gd
0.989 -7.781 5.816 Br
1.410 -2.674 -0.345 Br
2.423 -5.254 2.566 Al
-0.033 -5.178 2.879 Al
0.893 -2.274 2.565 Y
```

Properties
Crystal system: trigonal
E_tot, eV/atom: -4.74
Space-group type: P3m1

---

# 2
First-principles (GGA-PBE) data for a geometry-optimized Al2HgBr8 structure, as listed in OQMD via LeMat-Bulk.

```
Al2HgBr8
1.0
6.434 -5.074 0.000
6.434 5.074 0.000
-0.688 0.000 6.492
Br Al Hg
8 2 1
Cartesian
7.232 3.223 4.980 Br
9.876 0.000 4.563 Br
7.232 -3.223 4.980 Br
4.188 0.000 5.148 Br
4.947 3.223 1.512 Br
2.303 0.000 1.929 Br
7.992 0.000 1.344 Br
4.947 -3.223 1.512 Br
2.102 0.000 4.257 Al
10.077 0.000 2.235 Al
0.000 0.000 0.000 Hg
```

Properties
Crystal system: monoclinic
E_tot, eV/atom: -2.84
Space-group type: C2/m

---

# 3
First-principles (GGA-PBE) data for a geometry-optimized K2AlHgBr6 structure, as listed in OQMD via LeMat-Bulk.

```
K2AlHgBr6
1.0
0.000 5.511 5.511
5.511 0.000 5.511
5.511 5.511 0.000
Br Hg K Al
6 1 2 1
Cartesian
8.481 5.511 5.511 Br
5.511 5.511 2.542 Br
5.511 2.542 5.511 Br
5.511 8.481 5.511 Br
5.511 5.511 8.481 Br
2.542 5.511 5.511 Br
5.511 5.511 5.511 Hg
2.756 2.756 2.756 K
8.267 8.267 8.267 K
0.000 0.000 0.000 Al
```

Properties
Crystal system: cubic
E_tot, eV/atom: -2.74
Space-group type: Fm-3m

---

# 4
First-principles (GGA-PBE) data for a geometry-optimized Rb2AlHgBr6 structure, as listed in OQMD via LeMat-Bulk.

```
Rb2AlHgBr6
1.0
5.668 0.000 0.000
0.000 5.668 0.000
0.000 0.000 13.325
Hg Br Al Rb
1 6 1 2
Cartesian
0.000 0.000 0.000 Hg
0.000 2.834 11.571 Br
0.000 2.834 1.754 Br
2.834 0.000 11.571 Br
2.834 2.834 0.000 Br
2.834 2.834 6.663 Br
2.834 0.000 1.754 Br
0.000 0.000 6.663 Al
2.834 2.834 10.008 Rb
2.834 2.834 3.318 Rb
```

Properties
Crystal system: tetragonal
E_tot, eV/atom: -1.93
Space-group type: P4/mmm